! Pr6Ho12Sc, relaxed, DFT PBE-GGA; values from VASP
! - Volume: 623.7 Å³/f.u.
! - E_form: 117 meV/atom
! - Space group: R-3m, No. 166
! - N(E_F): 29.63 states/eV/cell
! - Raw total energy: -0.3393 Ry per atom
&SYSTEM
  ibrav = 0, nat = 19, ntyp = 3
/
ATOMIC_SPECIES
Pr 140.91 Pr.upf
Ho 164.93 Ho.upf
Sc 44.96 Sc.upf
ATOMIC_POSITIONS crystal
Pr 0.837 0.229 0.229
Pr 0.771 0.771 0.163
Pr 0.771 0.163 0.771
Pr 0.229 0.229 0.837
Pr 0.163 0.771 0.771
Pr 0.229 0.837 0.229
Ho 0.484 0.137 0.138
Ho 0.485 0.485 0.805
Ho 0.516 0.863 0.862
Ho 0.863 0.862 0.516
Ho 0.195 0.515 0.515
Ho 0.515 0.195 0.515
Ho 0.137 0.138 0.484
Ho 0.138 0.484 0.137
Ho 0.805 0.485 0.485
Ho 0.485 0.805 0.485
Ho 0.515 0.515 0.195
Ho 0.862 0.516 0.863
Sc 0.000 0.000 0.000
CELL_PARAMETERS angstrom
8.432 1.295 1.551
0.001 8.531 1.551
0.001 0.001 8.671

---

! RbZnNiHg2, relaxed, DFT PBE-GGA; values from VASP
! - Volume: 131.9 Å³/f.u.
! - E_form: -64 meV/atom
! - Space group: P4/mmm, No. 123
! - N(E_F): 1.67 states/eV/cell
! - Raw total energy: -0.1315 Ry per atom
&SYSTEM
  ibrav = 0, nat = 5, ntyp = 4
/
ATOMIC_SPECIES
Hg 200.59 Hg.upf
Zn 65.41 Zn.upf
Ni 58.69 Ni.upf
Rb 85.47 Rb.upf
ATOMIC_POSITIONS crystal
Hg 0.500 0.000 0.000
Hg 0.000 0.500 0.000
Zn 0.000 0.000 0.500
Ni 0.000 0.000 0.000
Rb 0.500 0.500 0.500
CELL_PARAMETERS angstrom
5.218 0.000 0.000
0.000 5.218 0.000
0.000 0.000 4.845

---

> N(E_F) of number 2 (RbZnNiHg2)?

1.67 states/eV/cell

---

> Which value of volume does entry 2 give?

131.9 Å³/f.u.

---

> Number 2 is which compound?

RbZnNiHg2

---

> Look up the raw total energy of the second one.

-0.1315 Ry per atom